(1)
Eu2NiSn | PBE-GGA | relaxed

```
data_Eu2NiSn
_cell_length_a 3.5140
_cell_length_b 3.5140
_cell_length_c 8.2903
_cell_angle_alpha 90.00
_cell_angle_beta 90.00
_cell_angle_gamma 90.00
_space_group_name_H-M_alt 'P 1'
_space_group_IT_number 1
loop_
_space_group_symop_operation_xyz
'x,y,z'
loop_
_atom_site_label
_atom_site_type_symbol
_atom_site_fract_x
_atom_site_fract_y
_atom_site_fract_z
Sn1 Sn 0.5000 0.5000 0.5000
Ni1 Ni 0.5000 0.5000 0.0000
Eu1 Eu 0.0000 0.0000 0.7868
Eu2 Eu 0.0000 0.0000 0.2132
```

Summary:
**Energy of formation**: -322 meV per atom
**Space-group type**: P4/mmm
**Final energy**: -0.29053 Ha/atom
**DOS(E_F)**: 17.12 states/eV/cell
**Crystal system**: tetragonal

(2)
EuZnNiSn | PBE-GGA | relaxed

```
data_EuZnNiSn
_cell_length_a 4.8011
_cell_length_b 4.8011
_cell_length_c 4.8011
_cell_angle_alpha 60.00
_cell_angle_beta 60.00
_cell_angle_gamma 60.00
_space_group_name_H-M_alt 'P 1'
_space_group_IT_number 1
loop_
_space_group_symop_operation_xyz
'x,y,z'
loop_
_atom_site_label
_atom_site_type_symbol
_atom_site_fract_x
_atom_site_fract_y
_atom_site_fract_z
Eu1 Eu 0.0000 0.0000 0.0000
Ni1 Ni 0.2500 0.2500 0.2500
Zn1 Zn 0.7500 0.7500 0.7500
Sn1 Sn 0.5000 0.5000 0.5000
```

Summary:
**Energy of formation**: -234 meV per atom
**Space-group type**: F-43m
**Final energy**: -0.20457 Ha/atom
**DOS(E_F)**: 10.98 states/eV/cell
**Crystal system**: cubic

(3)
Sr3EuNi | PBE-GGA | relaxed

```
data_Sr3EuNi
_cell_length_a 5.9621
_cell_length_b 5.9621
_cell_length_c 5.9621
_cell_angle_alpha 90.00
_cell_angle_beta 90.00
_cell_angle_gamma 90.00
_space_group_name_H-M_alt 'P 1'
_space_group_IT_number 1
loop_
_space_group_symop_operation_xyz
'x,y,z'
loop_
_atom_site_label
_atom_site_type_symbol
_atom_site_fract_x
_atom_site_fract_y
_atom_site_fract_z
Eu1 Eu 0.5000 0.5000 0.5000
Sr1 Sr 0.0000 0.0000 0.5000
Sr2 Sr 0.5000 0.0000 0.0000
Sr3 Sr 0.0000 0.5000 0.0000
Ni1 Ni 0.0000 0.0000 0.0000
```

Summary:
**Energy of formation**: 29 meV per atom
**Space-group type**: Pm-3m
**Final energy**: -0.15402 Ha/atom
**DOS(E_F)**: 17.05 states/eV/cell
**Crystal system**: cubic

(4)
EuTaNi2 | PBE-GGA | relaxed

```
data_EuTaNi2
_cell_length_a 3.1922
_cell_length_b 3.1922
_cell_length_c 7.0338
_cell_angle_alpha 90.00
_cell_angle_beta 90.00
_cell_angle_gamma 90.00
_space_group_name_H-M_alt 'P 1'
_space_group_IT_number 1
loop_
_space_group_symop_operation_xyz
'x,y,z'
loop_
_atom_site_label
_atom_site_type_symbol
_atom_site_fract_x
_atom_site_fract_y
_atom_site_fract_z
Ta1 Ta 0.5000 0.5000 0.0000
Eu1 Eu 0.5000 0.5000 0.5000
Ni1 Ni 0.0000 0.0000 0.1812
Ni2 Ni 0.0000 0.0000 0.8188
```

Summary:
**Energy of formation**: -118 meV per atom
**Space-group type**: P4/mmm
**Final energy**: -0.31385 Ha/atom
**DOS(E_F)**: 3.39 states/eV/cell
**Crystal system**: tetragonal

(5)
TbEuNi | PBE-GGA | relaxed

```
data_TbEuNi
_cell_length_a 3.4928
_cell_length_b 3.4928
_cell_length_c 6.8393
_cell_angle_alpha 104.79
_cell_angle_beta 104.79
_cell_angle_gamma 90.00
_space_group_name_H-M_alt 'P 1'
_space_group_IT_number 1
loop_
_space_group_symop_operation_xyz
'x,y,z'
loop_
_atom_site_label
_atom_site_type_symbol
_atom_site_fract_x
_atom_site_fract_y
_atom_site_fract_z
Ni1 Ni 0.6803 0.6803 0.3606
Tb1 Tb 0.2895 0.2895 0.5790
Eu1 Eu 0.0302 0.0302 0.0605
```

Summary:
**Energy of formation**: -156 meV per atom
**Space-group type**: I4mm
**Final energy**: -0.25911 Ha/atom
**DOS(E_F)**: 5.11 states/eV/cell
**Energy above the most stable polymorph in this dataset**: 0.0000 eV per atom
**Crystal system**: tetragonal

(6)
TbEu2Ni | PBE-GGA | relaxed

```
data_TbEu2Ni
_cell_length_a 3.6937
_cell_length_b 3.6937
_cell_length_c 10.7935
_cell_angle_alpha 80.15
_cell_angle_beta 80.15
_cell_angle_gamma 60.00
_space_group_name_H-M_alt 'P 1'
_space_group_IT_number 1
loop_
_space_group_symop_operation_xyz
'x,y,z'
loop_
_atom_site_label
_atom_site_type_symbol
_atom_site_fract_x
_atom_site_fract_y
_atom_site_fract_z
Eu1 Eu 0.1094 0.1094 0.6718
Eu2 Eu 0.8906 0.8906 0.3282
Tb1 Tb 0.0000 0.0000 0.0000
Ni1 Ni 0.5000 0.5000 0.5000
```

Summary:
**Energy of formation**: 216 meV per atom
**Space-group type**: R-3m
**Final energy**: -0.27651 Ha/atom
**DOS(E_F)**: 11.21 states/eV/cell
**Crystal system**: trigonal

(7)
TbEuNi | PBE-GGA | relaxed

```
data_TbEuNi
_cell_length_a 3.9773
_cell_length_b 3.9773
_cell_length_c 6.4656
_cell_angle_alpha 90.00
_cell_angle_beta 90.00
_cell_angle_gamma 120.00
_space_group_name_H-M_alt 'P 1'
_space_group_IT_number 1
loop_
_space_group_symop_operation_xyz
'x,y,z'
loop_
_atom_site_label
_atom_site_type_symbol
_atom_site_fract_x
_atom_site_fract_y
_atom_site_fract_z
Tb1 Tb 0.3333 0.6667 0.5648
Ni1 Ni 0.6667 0.3333 0.3506
Eu1 Eu 0.0000 0.0000 0.0846
```

Summary:
**Energy of formation**: -98 meV per atom
**Space-group type**: P3m1
**Final energy**: -0.25700 Ha/atom
**DOS(E_F)**: 8.10 states/eV/cell
**Energy above the most stable polymorph in this dataset**: 0.0576 eV per atom
**Crystal system**: trigonal

(8)
Tb3EuNi | PBE-GGA | relaxed

```
data_Tb3EuNi
_cell_length_a 5.4014
_cell_length_b 5.4014
_cell_length_c 5.4014
_cell_angle_alpha 90.00
_cell_angle_beta 90.00
_cell_angle_gamma 90.00
_space_group_name_H-M_alt 'P 1'
_space_group_IT_number 1
loop_
_space_group_symop_operation_xyz
'x,y,z'
loop_
_atom_site_label
_atom_site_type_symbol
_atom_site_fract_x
_atom_site_fract_y
_atom_site_fract_z
Eu1 Eu 0.5000 0.5000 0.5000
Tb1 Tb 0.0000 0.0000 0.5000
Ni1 Ni 0.0000 0.0000 0.0000
Tb2 Tb 0.5000 0.0000 0.0000
Tb3 Tb 0.0000 0.5000 0.0000
```

Summary:
**Energy of formation**: -68 meV per atom
**Space-group type**: Pm-3m
**Final energy**: -0.22261 Ha/atom
**DOS(E_F)**: 7.80 states/eV/cell
**Crystal system**: cubic

(9)
TbEuZnNi | PBE-GGA | relaxed

```
data_TbEuZnNi
_cell_length_a 5.0104
_cell_length_b 5.0104
_cell_length_c 5.0104
_cell_angle_alpha 60.00
_cell_angle_beta 60.00
_cell_angle_gamma 60.00
_space_group_name_H-M_alt 'P 1'
_space_group_IT_number 1
loop_
_space_group_symop_operation_xyz
'x,y,z'
loop_
_atom_site_label
_atom_site_type_symbol
_atom_site_fract_x
_atom_site_fract_y
_atom_site_fract_z
Tb1 Tb 0.5000 0.5000 0.5000
Ni1 Ni 0.2500 0.2500 0.2500
Eu1 Eu 0.0000 0.0000 0.0000
Zn1 Zn 0.7500 0.7500 0.7500
```

Summary:
**Energy of formation**: -203 meV per atom
**Space-group type**: F-43m
**Final energy**: -0.20921 Ha/atom
**DOS(E_F)**: 6.10 states/eV/cell
**Crystal system**: cubic

(10)
EuNiTe | PBE-GGA | relaxed

```
data_EuNiTe
_cell_length_a 4.3450
_cell_length_b 4.3409
_cell_length_c 4.3409
_cell_angle_alpha 120.00
_cell_angle_beta 90.00
_cell_angle_gamma 90.00
_space_group_name_H-M_alt 'P 1'
_space_group_IT_number 1
loop_
_space_group_symop_operation_xyz
'x,y,z'
loop_
_atom_site_label
_atom_site_type_symbol
_atom_site_fract_x
_atom_site_fract_y
_atom_site_fract_z
Te1 Te 0.1661 0.0000 0.0000
Ni1 Ni 0.1678 0.3333 0.6667
Eu1 Eu 0.6661 0.6667 0.3333
```

Summary:
**Raw formation energy**: -0.88 eV/atom
**Space-group type**: P3m1
**Final energy**: -0.26739 Ha/atom
**DOS(E_F)**: 10.84 states/eV/cell
**Crystal system**: trigonal

(11)
EuThNi2 | PBE-GGA | relaxed

```
data_EuThNi2
_cell_length_a 3.9733
_cell_length_b 3.9733
_cell_length_c 7.2911
_cell_angle_alpha 74.19
_cell_angle_beta 74.19
_cell_angle_gamma 60.00
_space_group_name_H-M_alt 'P 1'
_space_group_IT_number 1
loop_
_space_group_symop_operation_xyz
'x,y,z'
loop_
_atom_site_label
_atom_site_type_symbol
_atom_site_fract_x
_atom_site_fract_y
_atom_site_fract_z
Eu1 Eu 0.5000 0.5000 0.5000
Ni1 Ni 0.2578 0.2578 0.2267
Th1 Th 0.0000 0.0000 0.0000
Ni2 Ni 0.7422 0.7422 0.7733
```

Summary:
**Energy of formation**: -179 meV per atom
**Space-group type**: R-3m
**Final energy**: -0.27538 Ha/atom
**DOS(E_F)**: 10.96 states/eV/cell
**Energy above the most stable polymorph in this dataset**: 0.0804 eV per atom
**Crystal system**: trigonal

(12)
EuThNi2 | PBE-GGA | relaxed

```
data_EuThNi2
_cell_length_a 4.9209
_cell_length_b 4.9209
_cell_length_c 4.9209
_cell_angle_alpha 60.00
_cell_angle_beta 60.00
_cell_angle_gamma 60.00
_space_group_name_H-M_alt 'P 1'
_space_group_IT_number 1
loop_
_space_group_symop_operation_xyz
'x,y,z'
loop_
_atom_site_label
_atom_site_type_symbol
_atom_site_fract_x
_atom_site_fract_y
_atom_site_fract_z
Eu1 Eu 0.0000 0.0000 0.0000
Th1 Th 0.5000 0.5000 0.5000
Ni1 Ni 0.2500 0.2500 0.2500
Ni2 Ni 0.7500 0.7500 0.7500
```

Summary:
**Energy of formation**: -170 meV per atom
**Space-group type**: Fm-3m
**Final energy**: -0.27504 Ha/atom
**DOS(E_F)**: 5.44 states/eV/cell
**Energy above the most stable polymorph in this dataset**: 0.0896 eV per atom
**Crystal system**: cubic